Ba6PbSe2I3 (GGA-PBE, relaxed); symmetry = No. 12; total moment = 0.0 Bohr magnetons per cell; DOS(E_F) = 0.327 states/eV per atom; uncorrected formation energy = -1505 meV/atom
1.0
8.495 0.000 0.002
-4.245 7.358 0.002
-1.416 -2.451 8.325
I Ba Pb Se
3 6 1 2
direct
0.835 0.165 0.500
0.500 0.500 0.500
0.165 0.835 0.500
0.269 0.269 0.785
0.588 0.928 0.785
0.928 0.588 0.785
0.731 0.731 0.215
0.072 0.412 0.215
0.412 0.072 0.215
0.000 0.000 0.000
0.333 0.667 0.000
0.667 0.333 0.000